A relaxed structure of Cs3YSb2O8. Source: Alexandria, functional PBE.

Results
Volume ... 301.45 Å³ per cell
Formation energy without anion corrections ... -1.87 eV per atom
DFT total energy ... -83.14 eV for the cell shown

Cell and atoms, written as POSCAR:
```
Cs3YSb2O8
1.0
-5.6966 -1.2465 2.5023
1.2765 -1.6900 -5.9817
2.8967 -7.6552 2.7810
O Cs Y Sb
8 3 1 2
Cartesian
-1.7008 -4.8856 -2.3484 O
-2.6244 -6.3192 2.8808 O
-1.9966 -7.1505 -0.0612 O
1.1010 -4.2725 -3.5791 O
-0.6333 -8.6327 2.3039 O
-0.8901 -1.9591 -3.0023 O
0.1774 -5.7062 1.6500 O
0.4731 -3.4413 -0.6371 O
-2.5810 -3.4854 0.4340 Cs
1.0576 -7.1063 -1.1323 Cs
0.0000 0.0000 0.0000 Cs
1.4483 -3.8276 1.3905 Y
-1.2615 -6.9726 1.7008 Sb
-0.2620 -3.6191 -2.3992 Sb
```

---

A relaxed structure of Cs3YSb2O9. Source: Alexandria, functional PBE.

Results
Volume ... 239.32 Å³ per cell
Formation energy without anion corrections ... -1.55 eV per atom
DFT total energy ... -85.07 eV for the cell shown

Cell and atoms, written as POSCAR:
```
Cs3YSb2O9
1.0
-4.2764 0.3489 -4.3086
4.6843 -3.8191 -0.6678
-3.8953 -5.3777 3.4308
O Sb Cs Y
9 2 3 1
Cartesian
0.2039 -1.7351 -2.4882 O
-3.1674 -5.8638 -1.6217 O
2.3421 -1.9095 -0.3339 O
-3.3580 -4.2419 0.7042 O
-2.1382 0.1744 -2.1543 O
-0.3201 -2.9840 0.0761 O
-5.3568 -4.0788 -1.3096 O
-0.1294 -4.6060 -2.2499 O
1.8693 -4.7691 -0.2361 O
-4.5569 -5.5512 -0.2173 Sb
1.0694 -3.2967 -1.3284 Sb
0.0000 0.0000 0.0000 Cs
-0.8869 -5.9975 0.3946 Cs
-2.6006 -2.8504 -1.9403 Cs
-1.9476 -2.6888 1.7154 Y
```

---

A relaxed structure of Cs2Zn2SbO6. Source: Alexandria, functional PBE.

Results
Volume ... 202.31 Å³ per cell
Formation energy without anion corrections ... -1.32 eV per atom
DFT total energy ... -52.63 eV for the cell shown

Cell and atoms, written as POSCAR:
```
Cs2Zn2SbO6
1.0
-0.5221 0.2044 -5.9678
-4.6701 -2.6220 -2.6915
-5.1154 4.7242 -2.4009
Zn O Cs Sb
2 6 2 1
Cartesian
-3.9809 -0.7631 -5.6984 Zn
-6.3268 3.0697 -5.3618 Zn
-4.7579 -1.1058 -4.0163 O
-5.0399 -0.9954 -7.2395 O
-2.5176 0.4207 -5.7858 O
-7.7901 1.8858 -5.2744 O
-5.5498 3.4124 -7.0439 O
-5.2678 3.3019 -3.8207 O
-7.3024 1.0300 -8.3566 Cs
-3.0053 1.2765 -2.7036 Cs
0.0000 0.0000 0.0000 Sb
```

---

A relaxed structure of Cs2ZnSbO4. Source: Alexandria, functional PBE.

Results
Volume ... 170.53 Å³ per cell
Formation energy without anion corrections ... -1.37 eV per atom
DFT total energy ... -37.90 eV for the cell shown

Cell and atoms, written as POSCAR:
```
Cs2ZnSbO4
1.0
6.1805 -0.1922 -0.2944
-2.8073 5.5094 0.2944
-2.8073 -1.9476 5.1621
Sb O Cs Zn
1 4 2 1
Cartesian
0.2829 -0.1795 3.7980 Sb
-2.2890 3.3426 3.9039 O
3.5573 2.2484 0.5310 O
-1.6153 0.2481 3.2936 O
1.4786 0.9000 2.5956 O
0.2829 3.5491 1.3641 Cs
0.0000 0.0000 0.0000 Cs
-2.8073 1.7809 2.7283 Zn
```